Record 1
HgMo2Ru, optimized geometry, DFT PBE; formation enthalpy at 0 K = 0.414 eV per atom; crystal system = monoclinic
1.0
-4.808 -0.939 0.677
-4.057 -2.194 -1.785
0.240 -4.403 2.317
Mo Ru Hg
2 1 1
Direct
0.756 0.756 0.741 Mo
0.009 0.009 0.973 Mo
0.488 0.488 0.536 Ru
0.247 0.247 0.250 Hg

Record 2
LiTe, optimized geometry, DFT PBE; uncorrected formation energy = -627.4 meV per atom; crystal system = trigonal; energy above the most stable polymorph in this dataset = 94 meV per atom
1.0
4.786 0.000 0.000
-2.393 4.145 0.000
0.000 0.000 18.522
Te Li
6 6
Direct
0.667 0.333 0.743 Te
0.000 0.000 0.923 Te
0.333 0.667 0.257 Te
0.667 0.333 0.590 Te
0.000 0.000 0.077 Te
0.333 0.667 0.410 Te
0.000 0.000 0.742 Li
0.000 0.000 0.258 Li
0.333 0.667 0.591 Li
0.333 0.667 0.076 Li
0.667 0.333 0.409 Li
0.667 0.333 0.924 Li

Record 3
Sr2CaTl, optimized geometry, DFT PBE; formation enthalpy at 0 K = -0.216 eV per atom; crystal system = tetragonal; energy above the most stable polymorph in this dataset = 17 meV per atom
1.0
4.179 0.000 0.000
0.000 4.179 0.000
0.000 0.000 9.408
Tl Sr Ca
1 2 1
Direct
0.500 0.500 0.250 Tl
0.000 0.000 0.047 Sr
0.000 0.000 0.453 Sr
0.500 0.500 0.750 Ca

Record 4
Ca2EuCd, optimized geometry, DFT PBE; formation enthalpy at 0 K = -0.159 eV per atom; crystal system = tetragonal; energy above the most stable polymorph in this dataset = 0 meV per atom
1.0
3.848 0.000 0.000
0.000 3.848 0.000
0.000 0.000 9.681
Eu Cd Ca
1 1 2
Direct
0.500 0.500 0.500 Eu
0.500 0.500 0.000 Cd
0.000 0.000 0.805 Ca
0.000 0.000 0.195 Ca

Record 5
Lu2Mg, optimized geometry, DFT PBE; formation enthalpy at 0 K = 0.282 eV per atom; crystal system = cubic; energy above the most stable polymorph in this dataset = 303 meV per atom
1.0
6.289 0.000 0.000
3.144 5.446 0.000
3.144 1.815 5.135
Mg Lu
2 4
Direct
0.000 0.000 0.000 Mg
0.250 0.250 0.250 Mg
0.625 0.125 0.625 Lu
0.125 0.625 0.625 Lu
0.625 0.625 0.125 Lu
0.625 0.625 0.625 Lu

Record 6
CdTe2N, optimized geometry, DFT PBE; uncorrected formation energy = 759.2 meV per atom; crystal system = trigonal; energy above the most stable polymorph in this dataset = 181 meV per atom
1.0
-9.564 -0.865 -2.212
-8.635 -4.222 -2.171
-9.469 -2.609 0.801
Te Cd N
2 1 1
Direct
0.067 0.067 0.067 Te
0.933 0.933 0.933 Te
0.500 0.500 0.500 Cd
0.000 0.000 0.000 N

Record 7
NdSBr, optimized geometry, DFT PBE; uncorrected formation energy = -2002.8 meV per atom; crystal system = monoclinic
1.0
7.106 0.000 0.000
0.000 7.019 0.007
0.000 1.257 6.996
Nd Br S
4 4 4
Direct
0.535 0.209 0.680 Nd
0.035 0.291 0.320 Nd
0.965 0.709 0.680 Nd
0.465 0.791 0.320 Nd
0.126 0.701 0.079 Br
0.626 0.799 0.921 Br
0.374 0.201 0.079 Br
0.874 0.299 0.921 Br
0.758 0.009 0.449 S
0.242 0.991 0.551 S
0.258 0.491 0.551 S
0.742 0.509 0.449 S

Record 8
Sr2Ga2Sb, optimized geometry, DFT PBE; uncorrected formation energy = -481.9 meV per atom; crystal system = tetragonal; energy above the most stable polymorph in this dataset = 37 meV per atom
1.0
-2.694 0.224 -2.882
1.077 -3.578 -1.284
-7.416 -5.769 3.777
Sr Sb Ga
2 1 2
Direct
0.602 0.602 0.796 Sr
0.398 0.398 0.204 Sr
0.000 0.000 0.000 Sb
0.250 0.750 0.500 Ga
0.750 0.250 0.500 Ga